Record 1
# Pa2CuIr | the Alexandria database | GGA-PBE | optimized geometry
# * theoretical density: 14.3 g/cm3
# * ΔE to the lowest computed polymorph: 648 meV/atom
data_Pa2CuIr
_cell_length_a 10.588
_cell_length_b 10.588
_cell_length_c 10.588
_cell_angle_alpha 16.48
_cell_angle_beta 16.48
_cell_angle_gamma 16.48
_symmetry_space_group_name_H-M 'P 1'
_symmetry_Int_Tables_number 1
_symmetry_space_group_name_Hall 'P 1'
loop_
_atom_site_label
_atom_site_fract_x
_atom_site_fract_y
_atom_site_fract_z
Pa1 0.090 0.090 0.090
Pa2 0.910 0.910 0.910
Cu1 0.000 0.000 0.000
Ir1 0.500 0.500 0.500



Record 2
# BeTl2Te | the Alexandria database | GGA-PBE | optimized geometry
# * theoretical density: 7.8 g/cm3
# * formation energy (no corrections): 0.60 eV per formula unit
# * ΔE to the lowest computed polymorph: 133 meV/atom
data_BeTl2Te
_cell_length_a 6.115
_cell_length_b 6.115
_cell_length_c 6.115
_cell_angle_alpha 143.91
_cell_angle_beta 119.23
_cell_angle_gamma 72.76
_symmetry_space_group_name_H-M 'P 1'
_symmetry_Int_Tables_number 1
_symmetry_space_group_name_Hall 'P 1'
loop_
_atom_site_label
_atom_site_fract_x
_atom_site_fract_y
_atom_site_fract_z
Be1 0.000 0.000 0.000
Tl1 0.218 0.718 0.500
Tl2 0.524 0.524 0.000
Te1 0.857 0.357 0.500